Entry 1:
Compound: La2Cd2Pb
Source: Alexandria via LeMat-Bulk
Functional: PBE
Structure: optimized geometry

a b c (Å): 9.155 9.155 3.816
angles (deg): 90.00 90.00 90.00
Space group P4/mbm (No. 127)
Symmetry-distinct sites (fractional):
La  0.174  0.326  0.000
Cd  0.123  0.623  0.500
Pb  0.000  0.000  0.000

Values from the calculation:
- Total DFT energy (no corrections): -3.260 eV per atom
- ΔE to the lowest computed polymorph: 145.8 meV/atom
- Formation energy from the elements: -0.9 eV/f.u.
- N(E_F): 5.7 states/eV/f.u.


Entry 2:
Compound: La2Cd2Pb
Source: Alexandria via LeMat-Bulk
Functional: PBE
Structure: optimized geometry

a b c (Å): 4.975 4.975 13.498
angles (deg): 90.00 90.00 90.00
Space group I4/mmm (No. 139)
Symmetry-distinct sites (fractional):
La  0.000  0.500  0.250
Cd  0.000  0.000  0.098
Pb  0.000  0.000  0.500

Values from the calculation:
- Total DFT energy (no corrections): -3.077 eV per atom
- ΔE to the lowest computed polymorph: 328.9 meV/atom
- Formation energy from the elements: 0.0 eV/f.u.
- N(E_F): 4.0 states/eV/f.u.


Entry 3:
Compound: La5CdPb3
Source: Alexandria via LeMat-Bulk
Functional: PBE
Structure: optimized geometry

a b c (Å): 9.9203 9.9203 6.9058
angles (deg): 90.00 90.00 120.00
Space group P6_3/mcm (No. 193)
Symmetry-distinct sites (fractional):
La  0.0000  0.2893  0.2500
La  0.3333  0.6667  0.0000
Cd  0.0000  0.0000  0.0000
Pb  0.0000  0.3676  0.7500

Values from the calculation:
- Total DFT energy (no corrections): -4.624 eV per atom
- Formation energy from the elements: -4.9 eV/f.u.
- N(E_F): 9.9 states/eV/f.u.


Entry 4:
Compound: La2Cd3Pb3
Source: Alexandria via LeMat-Bulk
Functional: PBE
Structure: optimized geometry

a b c (Å): 4.827 4.998 9.397
angles (deg): 90.00 90.00 90.00
Space group Pmmm (No. 47)
Symmetry-distinct sites (fractional):
La  0.000  0.000  0.248
Cd  0.000  0.500  0.500
Cd  0.500  0.500  0.261
Pb  0.000  0.500  0.000
Pb  0.500  0.000  0.000
Pb  0.500  0.000  0.500

Values from the calculation:
- Total DFT energy (no corrections): -3.378 eV per atom
- Formation energy from the elements: -3.3 eV/f.u.
- N(E_F): 4.9 states/eV/f.u.